No. 1
An optimized crystal structure of CaMgP2, computed with PBE-GGA.

The density of states at the Fermi level comes out at 3.7 states/eV per cell. The total energy is -16.1 eV/f.u. As for the formation energy: -41.4 kJ per mole of atoms.

It has space group Cmmm (No. 65), with a = 4.3038 Å, b = 4.8812 Å, c = 7.4256 Å, α = 90.00°, β = 90.00° and γ = 90.00°. The distinct sites, in fractional coordinates, are Ca at (0.0000, 0.0000, 0.0000), Mg at (0.0000, 0.0000, 0.5000) and P at (0.0000, 0.5000, 0.2679).



No. 2
An optimized crystal structure of CaMgP2, computed with PBE-GGA.

The density of states at the Fermi level comes out at 1.1 states/eV per cell. The total energy is -17.0 eV/f.u. As for the formation energy: -61.4 kJ per mole of atoms.

It has space group Cm (No. 8), with a = 10.4046 Å, b = 3.9773 Å, c = 4.0766 Å, α = 90.00°, β = 102.96° and γ = 90.00°. The distinct sites, in fractional coordinates, are Ca at (0.0000, 0.0000, 0.0000), Mg at (0.2273, 0.5000, 0.4724), P at (0.2794, 0.0000, 0.0557) and P at (0.4683, 0.0000, 0.4675).



No. 3
An optimized crystal structure of Ca2MgP, computed with PBE-GGA.

The density of states at the Fermi level comes out at 4.1 states/eV per cell. The total energy is -11.0 eV/f.u. As for the formation energy: 0.1 kJ per mole of atoms.

It has space group F-43m (No. 216), with a = 7.4748 Å, b = 7.4748 Å, c = 7.4748 Å, α = 90.00°, β = 90.00° and γ = 90.00°. The distinct sites, in fractional coordinates, are Ca at (0.0000, 0.0000, 0.0000), Ca at (0.2500, 0.2500, 0.2500), Mg at (0.2500, 0.2500, 0.7500) and P at (0.0000, 0.0000, 0.5000).



No. 4
An optimized crystal structure of CaMgP3, computed with PBE-GGA.

The density of states at the Fermi level comes out at 4.4 states/eV per cell. The total energy is -15.6 eV/f.u. As for the formation energy: 81.3 kJ per mole of atoms.

It has space group Pm-3m (No. 221), with a = 5.1374 Å, b = 5.1374 Å, c = 5.1374 Å, α = 90.00°, β = 90.00° and γ = 90.00°. The distinct sites, in fractional coordinates, are Ca at (0.0000, 0.0000, 0.0000), Mg at (0.5000, 0.5000, 0.5000) and P at (0.0000, 0.0000, 0.5000).



No. 5
An optimized crystal structure of CaMg3P, computed with PBE-GGA.

The density of states at the Fermi level comes out at 3.1 states/eV per cell. The total energy is -12.5 eV/f.u. As for the formation energy: -6.2 kJ per mole of atoms.

It has space group Pm-3m (No. 221), with a = 5.0968 Å, b = 5.0968 Å, c = 5.0968 Å, α = 90.00°, β = 90.00° and γ = 90.00°. The distinct sites, in fractional coordinates, are Ca at (0.0000, 0.0000, 0.0000), Mg at (0.0000, 0.5000, 0.5000) and P at (0.5000, 0.5000, 0.5000).



No. 6
An optimized crystal structure of CaMgP, computed with PBE-GGA.

The density of states at the Fermi level comes out at 3.3 states/eV per cell. The total energy is -10.3 eV/f.u. As for the formation energy: -40.3 kJ per mole of atoms.

It has space group I4mm (No. 107), with a = 3.5075 Å, b = 3.5075 Å, c = 11.0928 Å, α = 90.00°, β = 90.00° and γ = 90.00°. The distinct sites, in fractional coordinates, are Ca at (0.0000, 0.0000, 0.0000), Mg at (0.0000, 0.0000, 0.2729) and P at (0.0000, 0.0000, 0.6637).



No. 7
An optimized crystal structure of Ca10Mg2P9, computed with PBE-GGA.

The density of states at the Fermi level comes out at 21.1 states/eV per cell. The total energy is -93.9 eV/f.u. As for the formation energy: -101.2 kJ per mole of atoms.

It has space group P4_2/mnm (No. 136), with a = 10.9105 Å, b = 10.9105 Å, c = 15.8271 Å, α = 90.00°, β = 90.00° and γ = 90.00°. The distinct sites, in fractional coordinates, are Ca at (0.0000, 0.0000, 0.1270), Ca at (0.0162, 0.2506, 0.3101), Ca at (0.0220, 0.3348, 0.1049), Ca at (0.1812, 0.8188, 0.5000), Mg at (0.1001, 0.1001, 0.5000), Mg at (0.2144, 0.7856, 0.0000), P at (0.0000, 0.0000, 0.3713), P at (0.0000, 0.5000, 0.2500), P at (0.0392, 0.3316, 0.5000), P at (0.1368, 0.1368, 0.0000), P at (0.1859, 0.8141, 0.1781) and P at (0.2366, 0.2366, 0.1941).



No. 8
An optimized crystal structure of CaMg4P, computed with PBE-GGA.

The density of states at the Fermi level comes out at 12.8 states/eV per cell. The total energy is -13.0 eV/f.u. As for the formation energy: 13.1 kJ per mole of atoms.

It has space group F-43m (No. 216), with a = 8.3529 Å, b = 8.3529 Å, c = 8.3529 Å, α = 90.00°, β = 90.00° and γ = 90.00°. The distinct sites, in fractional coordinates, are Ca at (0.0000, 0.0000, 0.0000), Mg at (0.1242, 0.1242, 0.6242) and P at (0.2500, 0.2500, 0.2500).